No. 1
An optimized crystal structure of K2CuSe2O6. Source: the Alexandria database, functional PBE-GGA.

Space group: No. 12
Calculated total energy: -5.000 eV per atom
Total magnetic moment: 1.010 μB/f.u.
Volume: 19.77 Å³ per atom

Structure (extended XYZ):
```
11
Lattice="5.3605 0.0000 0.0000 -2.6803 6.7074 -0.1522 0.0000 -4.1882 6.1439" Properties=species:S:1:pos:R:3 pbc="T T T"
K 2.6803 2.0276 1.2359
K 0.0000 0.4916 4.7558
Cu 2.6803 -2.0941 3.0719
Se 0.0000 -2.9999 4.9612
Se 2.6803 5.5191 1.0305
O 2.6803 2.3308 3.8312
O -1.3087 4.5210 1.4612
O 1.3716 -2.0017 4.5305
O 3.9890 -2.0017 4.5305
O 1.3087 4.5210 1.4612
O 0.0000 0.1884 2.1605
```


No. 2
An optimized crystal structure of K2CuSeO4. Source: the Alexandria database, functional PBE-GGA.

Space group: No. 70
Calculated total energy: -4.521 eV per atom
Total magnetic moment: 0.902 μB/f.u.
Volume: 19.58 Å³ per atom

Structure (extended XYZ):
```
16
Lattice="5.5525 0.0000 0.0000 2.7762 6.0089 0.0000 2.7762 0.0000 9.3910" Properties=species:S:1:pos:R:3 pbc="T T T"
K 2.7762 0.0000 6.0383
K 5.5525 0.0000 3.3528
K 6.9406 3.0045 8.0483
K 6.9406 3.0045 1.3427
Cu 6.9406 3.0045 4.6955
Cu 0.0000 0.0000 0.0000
Se 4.1644 3.0045 4.6955
Se 2.7762 0.0000 0.0000
O 4.3410 4.8868 0.7889
O 4.3410 1.1221 8.6022
O 9.5402 4.8868 8.6022
O 3.9877 1.1221 0.7889
O 5.3759 4.1265 3.9066
O 5.3759 1.8824 5.4844
O 8.5053 4.1265 5.4844
O 2.9529 1.8824 3.9066
```


No. 3
An optimized crystal structure of KCu2SeO. Source: the Alexandria database, functional PBE-GGA.

Space group: No. 63
Calculated total energy: -4.113 eV per atom
Total magnetic moment: 0.000 μB/f.u.
Volume: 16.75 Å³ per atom

Structure (extended XYZ):
```
10
Lattice="-1.5101 3.6272 0.8321 -4.0381 -4.3786 2.0663 3.2378 -0.0697 6.1800" Properties=species:S:1:pos:R:3 pbc="T T T"
K -1.9647 -2.4031 6.9101
K -0.3457 1.5821 2.1682
Cu 1.5587 -0.8580 6.5692
Cu -3.8691 0.0370 2.5091
Cu 0.3357 -0.8317 4.2349
Cu -2.6461 0.0107 4.8434
Se -0.5565 0.5681 6.2058
Se -1.7539 -1.3892 2.8725
O 0.0000 0.0000 0.0000
O 1.6189 -0.0348 3.0900
```


No. 4
An optimized crystal structure of KCuSe2O8. Source: the Alexandria database, functional PBE-GGA.

Space group: No. 148
Calculated total energy: -5.059 eV per atom
Total magnetic moment: 1.914 μB/f.u.
Volume: 15.18 Å³ per atom

Structure (extended XYZ):
```
12
Lattice="4.9647 0.0000 0.0000 2.4824 4.2995 0.0000 2.4823 1.4332 8.5340" Properties=species:S:1:pos:R:3 pbc="T T T"
K 4.9647 2.8663 4.2670
Cu 0.0000 0.0000 0.0000
Se 2.4823 1.4332 1.7248
Se 7.4470 4.2995 6.8092
O 2.4823 1.4332 3.3793
O 4.0949 1.3469 1.2137
O 7.4470 4.2995 5.1548
O 6.7154 2.8728 1.2137
O 3.2140 2.8599 7.3203
O 4.0837 4.3793 1.2137
O 5.8456 1.3534 7.3203
O 5.8344 4.3857 7.3203
```


No. 5
An optimized crystal structure of KCuSeO4. Source: the Alexandria database, functional PBE-GGA.

Space group: No. 82
Calculated total energy: -4.981 eV per atom
Total magnetic moment: 0.087 μB/f.u.
Volume: 18.55 Å³ per atom

Structure (extended XYZ):
```
7
Lattice="-4.9941 1.3286 2.7082 2.3827 -1.4748 5.1174 2.5154 3.6608 -3.4421" Properties=species:S:1:pos:R:3 pbc="T T T"
K 0.0000 0.0000 0.0000
Cu -1.3057 -0.0731 3.9128
Se 1.7962 1.0564 2.7941
O 0.8045 2.9448 -1.4118
O 0.6912 0.2877 3.8547
O 1.0029 2.4152 2.1150
O -2.6905 1.3815 4.2091
```


No. 6
An optimized crystal structure of KCuSe2O6. Source: the Alexandria database, functional PBE-GGA.

Space group: No. 148
Calculated total energy: -4.993 eV per atom
Total magnetic moment: 0.000 μB/f.u.
Volume: 15.37 Å³ per atom

Structure (extended XYZ):
```
10
Lattice="-4.6528 2.3669 -1.7030 -4.4783 -0.1505 3.1738 -1.4084 5.7858 3.0370" Properties=species:S:1:pos:R:3 pbc="T T T"
K 0.0000 0.0000 0.0000
Cu -5.2698 4.0011 2.2539
Se -7.8336 6.2209 3.4914
Se -2.7059 1.7813 1.0163
O -3.7242 4.2252 3.6074
O -4.6179 5.6959 1.2668
O -4.0789 2.8134 1.0529
O -6.8153 3.7770 0.9003
O -5.9216 2.3064 3.2409
O -6.4606 5.1888 3.4549
```


No. 7
An optimized crystal structure of K2CuSiO4. Source: the Alexandria database, functional PBE-GGA.

Space group: No. 70
Calculated total energy: -5.671 eV per atom
Total magnetic moment: 1.015 μB/f.u.
Volume: 17.60 Å³ per atom

Structure (extended XYZ):
```
16
Lattice="5.0614 0.0000 0.0000 2.5307 5.7866 0.0000 2.5307 0.0000 9.6162" Properties=species:S:1:pos:R:3 pbc="T T T"
K 2.5307 0.0000 6.2223
K 5.0614 0.0000 3.3938
K 6.3268 2.8933 8.2019
K 6.3268 2.8933 1.4143
Cu 6.3268 2.8933 4.8081
Cu 0.0000 0.0000 0.0000
Si 3.7961 2.8933 4.8081
Si 2.5307 0.0000 0.0000
O 4.0203 4.7957 0.8340
O 4.0203 0.9909 8.7821
O 8.6333 4.7957 8.7821
O 3.5719 0.9909 0.8340
O 4.8372 3.8843 3.9740
O 4.8372 1.9024 5.6421
O 7.8164 3.8843 5.6421
O 2.7549 1.9024 3.9740
```


No. 8
An optimized crystal structure of KSm2CuO4. Source: the Alexandria database, functional PBE-GGA.

Space group: No. 63
Calculated total energy: -6.707 eV per atom
Total magnetic moment: 0.000 μB/f.u.
Volume: 15.89 Å³ per atom

Structure (extended XYZ):
```
16
Lattice="3.5483 0.0000 0.0000 -1.7742 5.9651 0.0000 0.0000 0.0000 12.0084" Properties=species:S:1:pos:R:3 pbc="T T T"
K 0.0000 1.1728 9.0063
K 1.7742 4.7923 3.0021
Sm 0.0000 4.3883 6.7352
Sm 1.7742 1.5769 0.7310
Sm 1.7742 1.5769 5.2732
Sm 0.0000 4.3883 11.2774
Cu 1.7742 3.8588 9.0063
Cu 0.0000 2.1064 3.0021
O 0.0000 3.0418 1.2023
O 1.7742 2.9233 7.2065
O 1.7742 2.9233 10.8061
O 0.0000 3.0418 4.8019
O 0.0000 0.0000 6.0042
O 0.0000 0.0000 0.0000
O 0.0000 5.0339 9.0063
O 1.7742 0.9312 3.0021
```


No. 9
An optimized crystal structure of KSmCuO3. Source: the Alexandria database, functional PBE-GGA.

Space group: No. 11
Calculated total energy: -6.042 eV per atom
Total magnetic moment: 1.008 μB/f.u.
Volume: 19.48 Å³ per atom

Structure (extended XYZ):
```
12
Lattice="-2.6966 -1.7807 1.7456 4.3653 -0.8097 5.9175 -4.5011 7.7646 0.9674" Properties=species:S:1:pos:R:3 pbc="T T T"
K -0.6438 0.7181 1.6700
K -2.1886 4.4560 6.9605
Sm 1.5825 0.1427 4.5222
Sm -4.4149 5.0315 4.1084
Cu -3.3193 4.3719 1.2641
Cu 0.4869 0.8022 7.3665
O 1.1415 -0.8858 6.6557
O -3.9739 6.0599 1.9749
O 1.3808 1.9747 6.0795
O -4.2132 3.1994 2.5511
O -0.5849 -0.7607 4.1164
O -2.2475 5.9348 4.5142
```


No. 10
An optimized crystal structure of KSmCu2O4. Source: the Alexandria database, functional PBE-GGA.

Space group: No. 123
Calculated total energy: -5.872 eV per atom
Total magnetic moment: 0.000 μB/f.u.
Volume: 13.84 Å³ per atom

Structure (extended XYZ):
```
8
Lattice="-2.2917 1.3277 -2.8788 -1.5772 -3.5589 -0.3858 -5.0854 1.7284 4.8454" Properties=species:S:1:pos:R:3 pbc="T T T"
K -2.5427 0.8642 2.4227
Sm 0.0000 0.0000 0.0000
Cu -3.0706 -0.7295 -0.5498
Cu -5.8837 0.2266 2.1306
O -1.8334 -1.4244 0.8026
O -5.1864 2.0371 2.4105
O -2.1907 1.0189 -0.4439
O -4.8291 -0.4062 3.6570
```


No. 11
An optimized crystal structure of KCu3Sn4O12. Source: the Alexandria database, functional PBE-GGA.

Space group: No. 204
Calculated total energy: -5.686 eV per atom
Total magnetic moment: 2.003 μB/f.u.
Volume: 11.73 Å³ per atom

Structure (extended XYZ):
```
20
Lattice="-6.1302 0.0260 2.7766 2.0243 -6.3535 -0.9083 4.3201 3.1705 4.0712" Properties=species:S:1:pos:R:3 pbc="T T T"
K 0.0000 0.0000 0.0000
Cu 3.1722 -1.5915 1.5814
Cu -2.0530 -3.1638 0.9341
Cu -0.9051 1.5983 3.4239
Sn -3.0651 0.0130 1.3883
Sn 0.1071 -1.5785 2.9697
Sn 1.0122 -3.1768 -0.4542
Sn 2.1601 1.5853 2.0356
O 0.3508 -4.7856 0.7241
O -0.1366 1.6286 5.2154
O -0.3071 -3.6238 3.2129
O -3.1122 -3.7607 2.4581
O -3.4007 0.1074 3.4601
O 1.3091 -2.1076 1.3298
O -1.6199 -1.4610 1.7791
O 3.6149 -3.2644 2.4794
O 0.5213 0.4668 2.7266
O 3.3264 0.6037 3.4813
O -1.0949 -1.0494 4.6096
O 1.8341 -1.6960 4.1604
```


No. 12
An optimized crystal structure of K2CuSnO4. Source: the Alexandria database, functional PBE-GGA.

Space group: No. 82
Calculated total energy: -5.046 eV per atom
Total magnetic moment: 1.008 μB/f.u.
Volume: 16.46 Å³ per atom

Structure (extended XYZ):
```
8
Lattice="-1.7425 5.2115 0.9898 -1.7696 -2.1038 -4.8599 -2.0215 -3.7888 3.5685" Properties=species:S:1:pos:R:3 pbc="T T T"
K -2.7039 0.0807 -2.2579
K 0.0000 0.0000 0.0000
Cu -1.8955 -2.9463 -0.6457
Sn -2.8298 -0.7618 1.9563
O -2.5037 0.6678 0.5948
O -2.0347 -2.4626 1.2643
O -2.7836 2.8934 -1.3222
O -3.7452 -2.4606 -1.1400
```


Question: What is the calculated total energy in the third record?
Answer: -4.113 eV per atom


Repeat the twelfth record exactly.
An optimized crystal structure of K2CuSnO4. Source: the Alexandria database, functional PBE-GGA.

Space group: No. 82
Calculated total energy: -5.046 eV per atom
Total magnetic moment: 1.008 μB/f.u.
Volume: 16.46 Å³ per atom

Structure (extended XYZ):
```
8
Lattice="-1.7425 5.2115 0.9898 -1.7696 -2.1038 -4.8599 -2.0215 -3.7888 3.5685" Properties=species:S:1:pos:R:3 pbc="T T T"
K -2.7039 0.0807 -2.2579
K 0.0000 0.0000 0.0000
Cu -1.8955 -2.9463 -0.6457
Sn -2.8298 -0.7618 1.9563
O -2.5037 0.6678 0.5948
O -2.0347 -2.4626 1.2643
O -2.7836 2.8934 -1.3222
O -3.7452 -2.4606 -1.1400
```


Question: What is the formula in the fifth record?
Answer: KCuSeO4